Entry 1:
Material: NaZnP
Method: DFT, PBE
State: optimized geometry

Its energy relative to the elements is -0.39 eV/atom.

The structure belongs to space group P-6m2 (No. 187); the cell edges are 4.0265, 4.0265 and 4.5371 Å and the angles 90.00°, 90.00° and 120.00°. The inequivalent atoms are Na at (0.0000, 0.0000, 0.0000), Zn at (0.6667, 0.3333, 0.5000) and P at (0.3333, 0.6667, 0.5000).

=====

Entry 2:
Material: TmCuGe
Method: DFT, PBE
State: optimized geometry

Its energy relative to the elements is -0.17 eV/atom.

The structure belongs to space group I4mm (No. 107); the cell edges are 3.820, 3.820 and 8.185 Å and the angles 90.00°, 90.00° and 90.00°. The inequivalent atoms are Tm at (0.000, 0.000, 0.000), Cu at (0.000, 0.000, 0.343) and Ge at (0.000, 0.000, 0.657).

=====

Entry 3:
Material: Nd2AlSiPd6
Method: DFT, PBE
State: optimized geometry

The calculation puts the raw formation energy at -7.0 eV per formula unit.

The structure belongs to space group P-1 (No. 2); the cell edges are 6.376, 6.390 and 6.409 Å and the angles 66.16°, 66.25° and 62.04°. The inequivalent atoms are Nd at (0.235, 0.239, 0.312), Al at (0.500, 0.500, 0.500), Si at (0.000, 0.000, 0.000), Pd at (0.232, 0.655, 0.848), Pd at (0.237, 0.248, 0.788) and Pd at (0.347, 0.780, 0.151).

=====

Entry 4:
Material: Mn2TcRu
Method: DFT, PBE
State: optimized geometry

Its energy relative to the elements is 0.06 eV/atom.

The structure belongs to space group Pmm2 (No. 25); the cell edges are 2.703, 3.707 and 5.307 Å and the angles 90.00°, 90.00° and 90.00°. The inequivalent atoms are Mn at (0.000, 0.000, 0.000), Mn at (0.500, 0.500, 0.229), Tc at (0.500, 0.500, 0.736) and Ru at (0.000, 0.000, 0.490).

=====

Entry 5:
Material: LiPrCdIn
Method: DFT, PBE
State: optimized geometry

Its energy relative to the elements is -0.36 eV/atom.

The structure belongs to space group F-43m (No. 216); the cell edges are 7.377, 7.377 and 7.377 Å and the angles 90.00°, 90.00° and 90.00°. The inequivalent atoms are Li at (0.000, 0.000, 0.000), Pr at (0.000, 0.000, 0.500), Cd at (0.250, 0.250, 0.250) and In at (0.250, 0.250, 0.750).

=====

Entry 6:
Material: Ag5Hg2Br12
Method: DFT, PBE
State: optimized geometry

The calculation puts the raw formation energy at -5.4 eV per formula unit.

The structure belongs to space group P-1 (No. 2); the cell edges are 7.502, 8.036 and 11.521 Å and the angles 110.28°, 102.88° and 94.37°. The inequivalent atoms are Ag at (0.000, 0.000, 0.000), Ag at (0.340, 0.535, 0.351), Ag at (0.464, 0.241, 0.985), Hg at (0.101, 0.781, 0.646), Br at (0.015, 0.617, 0.789), Br at (0.080, 0.130, 0.835), Br at (0.251, 0.881, 0.502), Br at (0.292, 0.400, 0.527), Br at (0.365, 0.034, 0.117) and Br at (0.430, 0.563, 0.146).

=====

Entry 7:
Material: TlZn2Mo
Method: DFT, PBE
State: optimized geometry

The energy relative to the lowest polymorph listed for this composition comes out at 56 meV/atom. Its energy relative to the elements is 0.38 eV/atom.

The structure belongs to space group Cmmm (No. 65); the cell edges are 5.712, 8.309 and 2.938 Å and the angles 90.00°, 90.00° and 90.00°. The inequivalent atoms are Tl at (0.000, 0.000, 0.000), Zn at (0.250, 0.250, 0.500) and Mo at (0.000, 0.500, 0.000).

=====

Entry 8:
Material: H2RuI
Method: DFT, PBE
State: optimized geometry

The energy relative to the lowest polymorph listed for this composition comes out at 714 meV/atom.

The structure belongs to space group Fm-3m (No. 225); the cell edges are 5.720, 5.720 and 5.720 Å and the angles 90.00°, 90.00° and 90.00°. The inequivalent atoms are H at (0.250, 0.250, 0.250), Ru at (0.000, 0.000, 0.000) and I at (0.000, 0.000, 0.500).

=====

Entry 9:
Material: YSn2Pt
Method: DFT, PBE
State: optimized geometry

Its energy relative to the elements is -0.16 eV/atom.

The structure belongs to space group R-3m (No. 166, hexagonal axes); the cell edges are 3.5365, 3.5365 and 29.9206 Å and the angles 90.00°, 90.00° and 120.00°. The inequivalent atoms are Y at (0.0000, 0.0000, 0.0000), Sn at (0.0000, 0.0000, 0.1047) and Pt at (0.0000, 0.0000, 0.5000).

=====

Entry 10:
Material: BaNi2Hg2
Method: DFT, PBE
State: optimized geometry

The energy relative to the lowest polymorph listed for this composition comes out at 39 meV/atom. Its energy relative to the elements is -0.01 eV/atom.

The structure belongs to space group I4/mmm (No. 139); the cell edges are 4.730, 4.730 and 10.480 Å and the angles 90.00°, 90.00° and 90.00°. The inequivalent atoms are Ba at (0.000, 0.000, 0.000), Ni at (0.000, 0.500, 0.250) and Hg at (0.000, 0.000, 0.357).

=====

Entry 11:
Material: BaEr2S4
Method: DFT, PBE
State: optimized geometry

The energy relative to the lowest polymorph listed for this composition comes out at 0 meV/atom. The calculation puts the raw formation energy at -15.0 eV per formula unit.

The structure belongs to space group Pnma (No. 62); the cell edges are 12.279, 4.024 and 14.483 Å and the angles 90.00°, 90.00° and 90.00°. The inequivalent atoms are Ba at (0.242, 0.250, 0.162), Er at (0.066, 0.250, 0.391), Er at (0.079, 0.250, 0.899), S at (0.023, 0.750, 0.783), S at (0.081, 0.250, 0.576), S at (0.123, 0.750, 0.023) and S at (0.207, 0.750, 0.339).

=====

Entry 12:
Material: Sb2TeIrI
Method: DFT, PBE
State: optimized geometry

The energy relative to the lowest polymorph listed for this composition comes out at 13 meV/atom. The calculation puts the raw formation energy at 2.1 eV per formula unit.

The structure belongs to space group P4/mmm (No. 123); the cell edges are 5.206, 5.206 and 5.458 Å and the angles 90.00°, 90.00° and 90.00°. The inequivalent atoms are Sb at (0.000, 0.500, 0.000), Te at (0.000, 0.000, 0.500), Ir at (0.500, 0.500, 0.000) and I at (0.500, 0.500, 0.500).

=====

Entry 13:
Material: BeTlNi3
Method: DFT, PBE
State: optimized geometry

The energy relative to the lowest polymorph listed for this composition comes out at 1458 meV/atom. Its energy relative to the elements is 1.67 eV/atom.

The structure belongs to space group Pm-3m (No. 221); the cell edges are 4.704, 4.704 and 4.704 Å and the angles 90.00°, 90.00° and 90.00°. The inequivalent atoms are Be at (0.000, 0.000, 0.000), Tl at (0.500, 0.500, 0.500) and Ni at (0.000, 0.500, 0.500).

=====

Entry 14:
Material: BaAsIr2
Method: DFT, PBE
State: optimized geometry

Its energy relative to the elements is -0.24 eV/atom.

The structure belongs to space group Pm (No. 6); the cell edges are 4.100, 4.100 and 5.679 Å and the angles 90.00°, 90.06° and 90.00°. The inequivalent atoms are Ba at (0.000, 0.000, 0.000), As at (0.499, 0.500, 0.677), Ir at (0.500, 0.000, 0.456) and Ir at (0.999, 0.500, 0.456).

=====

Entry 15:
Material: TlSe2IF
Method: DFT, PBE
State: optimized geometry

The calculation puts the raw formation energy at 0.9 eV per formula unit.

The structure belongs to space group P4/mmm (No. 123); the cell edges are 5.327, 5.327 and 7.549 Å and the angles 90.00°, 90.00° and 90.00°. The inequivalent atoms are Tl at (0.000, 0.000, 0.000), Se at (0.000, 0.500, 0.500), I at (0.000, 0.000, 0.500) and F at (0.500, 0.500, 0.000).

=====

Entry 16:
Material: Tl2SiAg
Method: DFT, PBE
State: optimized geometry

The energy relative to the lowest polymorph listed for this composition comes out at 0 meV/atom. The calculation puts the raw formation energy at 1.0 eV per formula unit.

The structure belongs to space group Pmm2 (No. 25); the cell edges are 3.331, 3.342 and 8.799 Å and the angles 90.00°, 90.00° and 90.00°. The inequivalent atoms are Tl at (0.000, 0.000, 0.000), Tl at (0.500, 0.500, 0.343), Si at (0.000, 0.000, 0.595) and Ag at (0.500, 0.500, 0.737).

=====

Entry 17:
Material: Li3CrCl
Method: DFT, PBE
State: optimized geometry

The energy relative to the lowest polymorph listed for this composition comes out at 0 meV/atom. The calculation puts the raw formation energy at -0.7 eV per formula unit.

The structure belongs to space group Pm-3m (No. 221); the cell edges are 4.700, 4.700 and 4.700 Å and the angles 90.00°, 90.00° and 90.00°. The inequivalent atoms are Li at (0.000, 0.000, 0.500), Cr at (0.500, 0.500, 0.500) and Cl at (0.000, 0.000, 0.000).